A geometry-optimized YCuAgPd structure. Source: Alexandria, functional PBE-GGA.

a b c (Å): 4.7214 4.7214 4.7214
angles (deg): 60.00 60.00 60.00
With the nearest neighbours (Å) after each atom.
Atoms (fractional coordinates):
Y 0.0000 0.0000 0.0000  4 Cu 2.89, 4 Pd 2.89
Cu 0.7500 0.7500 0.7500  4 Y 2.89, 4 Ag 2.89
Ag 0.5000 0.5000 0.5000  4 Cu 2.89, 4 Pd 2.89
Pd 0.2500 0.2500 0.2500  4 Ag 2.89, 4 Y 2.89

Energy relative to the elements in eV/f.u.: -1.49

***

A geometry-optimized Sc2Al3Ga3 structure. Source: Alexandria, functional PBE-GGA.

a b c (Å): 4.0451 4.1216 8.2809
angles (deg): 90.00 90.00 90.00
With the nearest neighbours (Å) after each atom.
Atoms (fractional coordinates):
Sc 0.0000 0.0000 0.2466  6 Ga 2.87-2.89, 6 Al 2.90-2.94
Sc 0.0000 0.0000 0.7534  6 Ga 2.87-2.89, 6 Al 2.90-2.94
Al 0.0000 0.5000 0.0000  8 Ga 2.89-2.93, 4 Sc 2.90
Al 0.0000 0.5000 0.5000  4 Ga 2.86, 4 Al 2.89, 4 Sc 2.94
Al 0.5000 0.0000 0.5000  4 Al 2.89, 4 Ga 2.89, 4 Sc 2.91
Ga 0.5000 0.0000 0.0000  4 Sc 2.87, 4 Al 2.89, 4 Ga 2.95
Ga 0.5000 0.5000 0.2554  6 Al 2.86-2.93, 4 Sc 2.89, 2 Ga 2.95
Ga 0.5000 0.5000 0.7446  6 Al 2.86-2.93, 4 Sc 2.89, 2 Ga 2.95

Energy relative to the elements in eV/f.u.: -3.83

***

A geometry-optimized ZrCd2Re structure. Source: Alexandria, functional PBE-GGA.

a b c (Å): 5.4427 5.4427 5.4427
angles (deg): 136.60 136.00 63.52
With the nearest neighbours (Å) after each atom.
Atoms (fractional coordinates):
Zr 0.0000 0.0000 0.0000  4 Re 2.86, 8 Cd 3.07-3.08
Cd 0.2506 0.7506 0.5000  4 Cd 2.86, 4 Re 3.06-3.09, 4 Zr 3.07-3.08
Cd 0.7494 0.2494 0.5000  4 Cd 2.86, 4 Re 3.06-3.09, 4 Zr 3.07-3.08
Re 0.5000 0.5000 0.0000  4 Zr 2.86, 8 Cd 3.06-3.09

Energy relative to the elements in eV/f.u.: 0.64
Energy relative to the lowest polymorph listed for this composition in meV per atom: 0.0

***

A geometry-optimized Tb5Pm2ThSc structure. Source: Alexandria, functional PBE-GGA.

a b c (Å): 11.3002 11.3002 9.5110
angles (deg): 90.00 90.00 150.86
With the nearest neighbours (Å) after each atom.
Atoms (fractional coordinates):
Tb 0.0126 0.9874 0.5000  3 Pm 3.33-3.72, 2 Th 3.51, 2 Tb 3.65
Tb 0.2679 0.7321 0.8193  1 Th 3.04, 1 Pm 3.35
Tb 0.3041 0.6959 0.2081  5 Tb 3.42-3.78, 3 Sc 3.45-3.74, 1 Th 3.46, 3 Pm 3.48-3.72
Tb 0.3939 0.6061 0.5353  4 Pm 3.30-3.58, 3 Tb 3.31-3.68, 1 Th 3.65
Tb 0.4719 0.5281 0.2374  2 Th 3.29-3.41, 5 Tb 3.31-3.68, 2 Pm 3.48
Tb 0.5281 0.4719 0.7374  2 Th 3.29-3.41, 5 Tb 3.31-3.68, 2 Pm 3.48
Tb 0.6061 0.3939 0.0353  4 Pm 3.30-3.58, 3 Tb 3.31-3.68, 1 Th 3.65
Tb 0.6959 0.3041 0.7081  5 Tb 3.42-3.78, 3 Sc 3.45-3.74, 1 Th 3.46, 3 Pm 3.48-3.72
Tb 0.7321 0.2679 0.3193  1 Th 3.04, 1 Pm 3.35
Tb 0.9874 0.0126 0.0000  3 Pm 3.33-3.72, 2 Th 3.51, 2 Tb 3.65
Pm 0.1147 0.8853 0.8077  9 Tb 3.33-3.68, 1 Sc 3.34
Pm 0.1339 0.8661 0.1989  1 Sc 3.16, 2 Tb 3.30
Pm 0.8661 0.1339 0.6989  1 Sc 3.16, 2 Tb 3.30
Pm 0.8853 0.1147 0.3077  9 Tb 3.33-3.68, 1 Sc 3.34
Th 0.4001 0.5999 0.9191  2 Tb 3.04-3.29
Th 0.5999 0.4001 0.4191  2 Tb 3.04-3.29
Sc 0.1913 0.8087 0.5036  2 Pm 3.16-3.34, 5 Tb 3.44-3.46
Sc 0.8087 0.1913 0.0036  2 Pm 3.16-3.34, 5 Tb 3.44-3.46

Energy relative to the elements in eV/f.u.: 1.53

***

A geometry-optimized ZnFeC2 structure. Source: Alexandria, functional PBE-GGA.

a b c (Å): 5.4037 5.4037 5.4037
angles (deg): 129.88 129.88 73.61
With the nearest neighbours (Å) after each atom.
Atoms (fractional coordinates):
Zn 0.0000 0.0000 0.0000  4 C 2.11
Zn 0.7500 0.2500 0.5000  4 C 2.11
Fe 0.2500 0.7500 0.5000  4 C 1.81
Fe 0.5000 0.5000 0.0000  4 C 1.81
C 0.1813 0.6250 0.0563  2 Fe 1.81
C 0.3750 0.4313 0.5563  2 Fe 1.81
C 0.5687 0.1250 0.9437  2 Fe 1.81
C 0.8750 0.8187 0.4437  2 Fe 1.81

Energy relative to the elements in eV/f.u.: 3.68

***

A geometry-optimized Ir3PbF structure. Source: Alexandria, functional PBE-GGA.

a b c (Å): 5.0943 5.0943 5.0943
angles (deg): 90.00 90.00 90.00
With the nearest neighbours (Å) after each atom.
Atoms (fractional coordinates):
Ir 0.0000 0.0000 0.5000  2 Pb 2.55
Ir 0.0000 0.5000 0.0000  2 Pb 2.55
Ir 0.5000 0.0000 0.0000  2 Pb 2.55
Pb 0.0000 0.0000 0.0000  6 Ir 2.55
F 0.5000 0.5000 0.5000  12 Ir 3.60

Energy relative to the lowest polymorph listed for this composition in meV per atom: 1110.3
Uncorrected formation energy in eV per atom: 2.3244

***

A geometry-optimized LiTmNp2Se5 structure. Source: Alexandria, functional PBE-GGA.

a b c (Å): 8.7839 8.7839 12.2939
angles (deg): 90.00 90.00 153.37
With the nearest neighbours (Å) after each atom.
Atoms (fractional coordinates):
Li 0.0149 0.9851 0.5000  4 Se 2.41-2.61
Li 0.9851 0.0149 0.0000  4 Se 2.41-2.61
Tm 0.3011 0.6989 0.0236  6 Se 2.72-2.85
Tm 0.6989 0.3011 0.5236  6 Se 2.72-2.85
Np 0.3723 0.6277 0.3169  8 Se 2.96-3.21
Np 0.3935 0.6065 0.7036  8 Se 2.96-3.17
Np 0.6065 0.3935 0.2036  8 Se 2.96-3.17
Np 0.6277 0.3723 0.8169  8 Se 2.96-3.21
Se 0.0020 0.9980 0.8034  1 Li 2.43
Se 0.1373 0.8627 0.0197  1 Li 2.61, 1 Tm 2.80
Se 0.1891 0.8109 0.3658  2 Tm 2.81
Se 0.2154 0.7846 0.6852  2 Tm 2.85, 3 Np 2.99-3.05
Se 0.4517 0.5483 0.0951  2 Li 2.41
Se 0.5483 0.4517 0.5951  2 Li 2.41
Se 0.7846 0.2154 0.1852  2 Tm 2.85, 3 Np 2.99-3.05
Se 0.8109 0.1891 0.8658  2 Tm 2.81
Se 0.8627 0.1373 0.5197  1 Li 2.61, 1 Tm 2.80
Se 0.9980 0.0020 0.3034  1 Li 2.43

Uncorrected formation energy in eV per atom: -1.2973

***

A geometry-optimized Er6Mg2In3 structure. Source: Alexandria, functional PBE-GGA.

a b c (Å): 11.8554 11.8554 11.8554
angles (deg): 153.53 153.53 37.78
With the nearest neighbours (Å) after each atom.
Atoms (fractional coordinates):
Er 0.0955 0.5955 0.5000  2 Mg 2.86, 2 In 3.14
Er 0.1971 0.1971 0.0000  1 In 3.07, 1 Mg 3.18
Er 0.4045 0.9045 0.5000  2 Mg 2.86, 2 In 3.14
Er 0.5955 0.0955 0.5000  2 Mg 2.86, 2 In 3.14
Er 0.8029 0.8029 0.0000  1 In 3.07, 1 Mg 3.18
Er 0.9045 0.4045 0.5000  2 Mg 2.86, 2 In 3.14
Mg 0.0555 0.0555 0.0000  1 Mg 2.49
Mg 0.9445 0.9445 0.0000  1 Mg 2.49
In 0.3338 0.3338 0.0000  5 Er 3.07-3.14
In 0.5000 0.5000 0.0000  8 Er 3.46, 2 In 3.73
In 0.6662 0.6662 0.0000  5 Er 3.07-3.14

Energy relative to the elements in eV/f.u.: 1.55

***

A geometry-optimized ZrMo2W structure. Source: Alexandria, functional PBE-GGA.

a b c (Å): 5.3423 5.3423 2.8320
angles (deg): 100.46 100.46 115.86
With the nearest neighbours (Å) after each atom.
Atoms (fractional coordinates):
Zr 0.0000 0.0000 0.0000  4 Mo 2.79, 2 Zr 2.83, 2 W 2.84
Mo 0.0000 0.5000 0.5000  2 Zr 2.79, 2 W 2.79, 4 Mo 2.83-2.84
Mo 0.5000 0.0000 0.5000  2 Zr 2.79, 2 W 2.79, 4 Mo 2.83-2.84
W 0.5000 0.5000 0.0000  4 Mo 2.79, 2 W 2.83, 2 Zr 2.84

Energy relative to the elements in eV/f.u.: 0.22
Energy relative to the lowest polymorph listed for this composition in meV per atom: 83.9

***

A geometry-optimized Ho2TmNpS6 structure. Source: Alexandria, functional PBE-GGA.

a b c (Å): 7.3529 7.3529 7.3529
angles (deg): 55.92 55.92 55.92
With the nearest neighbours (Å) after each atom.
Atoms (fractional coordinates):
Ho 0.0000 0.0000 0.0000  6 S 2.71-2.77
Ho 0.4968 0.4968 0.4968  6 S 2.71-2.78
Tm 0.6967 0.6967 0.6967  6 S 2.70-2.75
Np 0.1996 0.1996 0.1996  6 S 2.76-2.83
S 0.0950 0.4026 0.7935  1 Tm 2.70, 2 Ho 2.71-2.77, 1 Np 2.83
S 0.2964 0.8900 0.6076  2 Ho 2.71-2.78, 1 Tm 2.75, 1 Np 2.76
S 0.4026 0.7935 0.0950  1 Tm 2.70, 2 Ho 2.71-2.77, 1 Np 2.83
S 0.6076 0.2964 0.8900  2 Ho 2.71-2.78, 1 Tm 2.75, 1 Np 2.76
S 0.7935 0.0950 0.4026  1 Tm 2.70, 2 Ho 2.71-2.77, 1 Np 2.83
S 0.8900 0.6076 0.2964  2 Ho 2.71-2.78, 1 Tm 2.75, 1 Np 2.76

Uncorrected formation energy in eV per atom: -1.8454

***

A geometry-optimized DyPuC2 structure. Source: Alexandria, functional PBE-GGA.

a b c (Å): 6.0501 6.0501 6.0501
angles (deg): 34.29 34.29 34.29
With the nearest neighbours (Å) after each atom.
Atoms (fractional coordinates):
Dy 0.0000 0.0000 0.0000  6 C 2.62
Pu 0.5000 0.5000 0.5000  6 C 2.40
C 0.2389 0.2389 0.2389  3 Pu 2.40, 3 Dy 2.62
C 0.7611 0.7611 0.7611  3 Pu 2.40, 3 Dy 2.62

Energy relative to the elements in eV/f.u.: -0.14
Energy relative to the lowest polymorph listed for this composition in meV per atom: 0.0

***

A geometry-optimized DyErAgBi structure. Source: Alexandria, functional PBE-GGA.

a b c (Å): 5.2874 5.2874 5.2874
angles (deg): 60.00 60.00 60.00
With the nearest neighbours (Å) after each atom.
Atoms (fractional coordinates):
Dy 0.0000 0.0000 0.0000  4 Bi 3.24, 4 Ag 3.24
Er 0.5000 0.5000 0.5000  4 Ag 3.24, 4 Bi 3.24
Ag 0.7500 0.7500 0.7500  4 Er 3.24, 4 Dy 3.24
Bi 0.2500 0.2500 0.2500  4 Er 3.24, 4 Dy 3.24

Energy relative to the elements in eV/f.u.: -1.57

***

Question: Which formula does entry 11 have?
Answer: DyPuC2